ZrTa4As, relaxed, DFT PBE; E_form = 320 meV per atom
1.0
-4.5327 -2.2465 -2.2423
-5.0131 1.5234 1.7798
-3.2811 3.0487 -3.2495
Ta Zr As
4 1 1
direct
0.3767 0.8699 0.3767
0.3767 0.3767 0.8699
0.8699 0.3767 0.3767
0.3767 0.3767 0.3767
0.7500 0.7500 0.7500
0.0000 0.0000 0.0000



Ce2ErPb, relaxed, DFT PBE; E_form = -261 meV per atom; energy relative to the lowest polymorph listed for this composition = 3.7 kJ/mol of formula units
1.0
-0.7428 0.4652 -5.1455
-3.0831 -3.4344 0.1346
-3.3736 3.0585 0.7635
Er Ce Pb
1 2 1
direct
0.5000 0.5000 0.5000
0.0000 0.0000 0.5000
0.0000 0.5000 0.0000
0.5000 0.0000 0.0000



K4Tb3InSe8, relaxed, DFT PBE; formation energy from raw total energies = -146 kJ per mole of atoms
1.0
-8.0808 -0.3595 2.3190
2.5324 -1.9833 8.5170
3.0824 7.0352 -3.4350
K In Se Tb
4 1 8 3
direct
0.5000 0.0000 0.5000
0.0000 0.0000 0.5000
0.0000 0.0000 0.0000
0.5000 0.0000 0.0000
0.0000 0.5000 0.0000
0.7402 0.7043 0.9722
0.2598 0.2957 0.0278
0.7679 0.2957 0.0278
0.2321 0.7043 0.9722
0.2647 0.2940 0.5293
0.7680 0.2957 0.5359
0.7353 0.7060 0.4707
0.2320 0.7043 0.4641
0.5000 0.5000 0.5000
0.0000 0.5000 0.5000
0.5000 0.5000 0.0000



Sm4Si6Ir7, relaxed, DFT PBE; formation energy from raw total energies = -90 kJ per mole of atoms
1.0
-3.0640 -2.8458 5.9441
-1.0347 -4.4707 -5.6357
7.1271 0.8677 1.1273
Ir Sm Si
7 4 6
direct
0.2500 0.5000 0.7500
0.7500 0.5000 0.2500
0.0000 0.0000 0.0000
0.5000 0.2500 0.7500
0.7500 0.2500 0.5000
0.5000 0.7500 0.2500
0.2500 0.7500 0.5000
0.5000 0.0000 0.0000
0.0000 0.0000 0.5000
0.0000 0.5000 0.0000
0.5000 0.5000 0.5000
0.6693 0.6693 0.0000
0.0000 0.6693 0.6693
0.6693 0.0000 0.6693
0.3307 0.0000 0.3307
0.0000 0.3307 0.3307
0.3307 0.3307 0.0000



TaSe2NO, relaxed, DFT PBE; formation energy from raw total energies = 59 kJ per mole of atoms; energy relative to the lowest polymorph listed for this composition = 0.0 kJ/mol of formula units
1.0
5.0307 0.0000 0.0000
0.0000 5.0307 0.0000
0.0000 0.0000 3.9236
Ta Se O N
1 2 1 1
direct
0.0000 0.0000 0.0000
0.5000 0.0000 0.0000
0.0000 0.5000 0.0000
0.5000 0.5000 0.5000
0.0000 0.0000 0.5000



PuScPdPt, relaxed, DFT PBE; E_form = -751 meV per atom
1.0
4.8413 0.0000 0.0000
2.4206 4.1926 0.0000
2.4206 1.3975 3.9529
Pt Sc Pu Pd
1 1 1 1
direct
0.2500 0.2500 0.2500
0.5000 0.5000 0.5000
0.0000 0.0000 0.0000
0.7500 0.7500 0.7500



Number 1: final energy -9.7809 eV/atom. Number 2: final energy -5.2961 eV/atom. Number 3: final energy -4.5743 eV/atom. Number 4: final energy -7.6043 eV/atom. Number 5: final energy -5.8066 eV/atom. Number 6: final energy -8.7249 eV/atom.